Entry from the Alexandria database: RbSrCo3 after structural relaxation (GGA-PBE).

Calculated volume = 24.5 Å³/atom
ΔE to the lowest computed polymorph = 181 meV/atom
Size of the total moment = 3.8 Bohr magnetons per cell
E_form = 2.02 eV per atom

Cell lengths 4.9646, 4.9646, 4.9646 Å; angles 90.00, 90.00, 90.00 degrees
With the nearest neighbours (Å) after each atom.
Space group Pm-3m (No. 221)
Asymmetric unit:
Rb (0.0000, 0.0000, 0.0000) (multiplicity 1)  6 Co 2.48
Sr (0.5000, 0.5000, 0.5000) (multiplicity 1)  12 Co 3.51
Co (0.0000, 0.0000, 0.5000) (multiplicity 3)  2 Rb 2.48

---

Entry from the Alexandria database: LiYThMg after structural relaxation (GGA-PBE).

Calculated volume = 27.0 Å³/atom
Size of the total moment = 0.0 Bohr magnetons per cell
E_form = 0.12 eV per atom

Cell lengths 7.5600, 7.5600, 7.5600 Å; angles 90.00, 90.00, 90.00 degrees
With the nearest neighbours (Å) after each atom.
Space group F-43m (No. 216)
Asymmetric unit:
Li (0.0000, 0.0000, 0.0000) (multiplicity 4)  4 Y 3.27, 4 Th 3.27
Y (0.2500, 0.2500, 0.7500) (multiplicity 4)  4 Li 3.27, 4 Mg 3.27
Th (0.2500, 0.2500, 0.2500) (multiplicity 4)  4 Li 3.27, 4 Mg 3.27
Mg (0.0000, 0.0000, 0.5000) (multiplicity 4)  4 Th 3.27, 4 Y 3.27

---

> The lowest calculated volume belongs to which entry?

RbSrCo3

---

> What is the E_form in the first record?

2.02 eV per atom